Arrangement i

# NiSn3Au

An optimized crystal structure of NiSn3Au (PBE-GGA, Alexandria).

Geometry as POSCAR:
```
NiSn3Au
1.0
6.529 0.000 0.000
0.000 7.381 -2.333
0.000 -0.186 8.987
Sn Ni Au
12 4 4
Direct
0.987 0.220 0.562
0.001 0.152 0.902
0.013 0.780 0.438
0.499 0.652 0.402
0.333 0.154 0.234
0.501 0.348 0.598
0.833 0.346 0.266
0.487 0.280 0.938
0.667 0.846 0.766
0.167 0.654 0.734
0.513 0.720 0.062
0.999 0.848 0.098
0.825 0.555 0.574
0.325 0.945 0.926
0.675 0.055 0.074
0.175 0.445 0.426
0.336 0.010 0.631
0.164 0.510 0.131
0.664 0.990 0.369
0.836 0.490 0.869
```

Output
Space-group type: P2_1/c (14)
Fermi-level density of states, states/eV per atom: 0.532
Magnetization, μB per formula unit: 0.00

Arrangement ii

# NiSn3Au

An optimized crystal structure of NiSn3Au (PBE-GGA, Alexandria).

Geometry as POSCAR:
```
NiSn3Au
1.0
4.951 0.000 0.000
0.000 4.951 0.000
0.000 0.000 4.951
Sn Ni Au
3 1 1
Direct
0.000 0.500 0.000
0.000 0.000 0.500
0.500 0.000 0.000
0.000 0.000 0.000
0.500 0.500 0.500
```

Output
Space-group type: Pm-3m (221)
Fermi-level density of states, states/eV per atom: 0.424
Magnetization, μB per formula unit: 0.00

Relative to the most stable one, in eV/atom, the structures come out at arrangement i 0.000; arrangement ii 0.220.